Record 1
4
Lattice="-0.7399 -3.3898 -1.1813 3.3736 -1.0688 0.9540 -2.5192 1.3524 3.3830" Properties=species:S:1:pos:R:3 comment="Cu2NiPt meta-GGA SCAN single point on PBEsol structure" volume_a3_per_fu=48 dos_at_fermi_per_ev_cell=3.3 m_tot_mub_per_fu=1.04 e_tot_ev_per_atom=-29.281 ef_kcal_per_mol_atoms=-2.060 pbc="T T T"
Cu 0.0000 0.0000 0.0000
Cu -0.9711 -2.1334 1.0440
Pt 1.0857 -0.9729 2.1117
Ni 1.3169 -2.2293 -0.1137

=====

Record 2
4
Lattice="-2.6220 -0.1638 -0.4287 0.0896 -2.6213 0.4539 -1.1512 1.1064 6.6172" Properties=species:S:1:pos:R:3 comment="Cu2NiPt meta-GGA SCAN single point on PBEsol structure" volume_a3_per_fu=48 dos_at_fermi_per_ev_cell=3.1 m_tot_mub_per_fu=0.94 e_tot_ev_per_atom=-29.238 ef_kcal_per_mol_atoms=-1.067 pbc="T T T"
Ni -0.5586 0.5369 3.2109
Cu -0.0182 0.0175 0.1047
Cu -1.5577 -1.1124 1.6881
Pt -2.1247 -0.5675 4.9473

=====

Record 3
4
Lattice="2.6063 0.0000 0.0000 0.0000 4.1749 0.0000 0.0000 0.0000 4.3798" Properties=species:S:1:pos:R:3 comment="CuNi2Pt meta-GGA SCAN single point on PBEsol structure" volume_a3_per_fu=48 dos_at_fermi_per_ev_cell=3.2 m_tot_mub_per_fu=1.56 e_tot_ev_per_atom=-29.475 ef_kcal_per_mol_atoms=-0.935 pbc="T T T"
Pt 1.3032 0.0000 2.4000
Ni 0.0000 2.0875 3.1109
Ni 0.0000 0.0000 0.1970
Cu 1.3032 2.0875 0.8617

=====

Record 4
4
Lattice="-0.8836 -0.2559 2.5182 -0.7598 -2.4022 0.9164 7.3636 -2.3874 3.7682" Properties=species:S:1:pos:R:3 comment="CuNiPt2 meta-GGA SCAN single point on PBEsol structure" volume_a3_per_fu=53 dos_at_fermi_per_ev_cell=1.7 m_tot_mub_per_fu=1.30 e_tot_ev_per_atom=-43.118 ef_kcal_per_mol_atoms=-4.110 pbc="T T T"
Ni 0.0000 0.0000 0.0000
Pt 1.4082 -1.2572 1.7935
Pt 4.3121 -3.7883 5.4094
Cu 2.8601 -2.5227 3.6014

=====

Record 5
4
Lattice="-1.7086 -0.0744 -2.0671 -2.2039 -2.3217 1.9052 -2.5977 4.1067 1.9994" Properties=species:S:1:pos:R:3 comment="CuNiPt2 meta-GGA SCAN single point on PBEsol structure" volume_a3_per_fu=53 dos_at_fermi_per_ev_cell=3.0 m_tot_mub_per_fu=1.34 e_tot_ev_per_atom=-43.046 ef_kcal_per_mol_atoms=-2.459 pbc="T T T"
Pt -2.6457 -0.1080 0.4497
Pt -2.5491 4.0299 1.9620
Cu -1.3050 2.0630 1.0044
Ni -3.9070 1.8859 1.4205

=====

Record 6
4
Lattice="2.6938 0.0000 0.0000 0.0000 4.2478 0.0000 0.0000 0.0000 4.2540" Properties=species:S:1:pos:R:3 comment="Cu2NiPt meta-GGA SCAN single point on PBEsol structure" volume_a3_per_fu=49 dos_at_fermi_per_ev_cell=2.4 m_tot_mub_per_fu=0.00 e_tot_ev_per_atom=-29.238 ef_kcal_per_mol_atoms=-1.069 pbc="T T T"
Pt 0.0000 2.1239 2.1270
Cu 0.0000 0.0000 0.0000
Cu 1.3469 2.1239 0.0000
Ni 1.3469 0.0000 2.1270

=====

Record 7
4
Lattice="-0.3460 -1.7671 1.9508 -2.5251 -2.4334 -2.6522 4.1707 -1.3159 -0.4524" Properties=species:S:1:pos:R:3 comment="Cu2NiPt meta-GGA SCAN single point on PBEsol structure" volume_a3_per_fu=49 dos_at_fermi_per_ev_cell=2.2 m_tot_mub_per_fu=0.97 e_tot_ev_per_atom=-29.245 ef_kcal_per_mol_atoms=-1.234 pbc="T T T"
Cu -1.2625 -1.2167 -1.3261
Cu 2.0854 -0.6580 -0.2262
Pt 0.6498 -2.7582 -0.5769
Ni -0.1730 -0.8836 0.9754

=====

Record 8
4
Lattice="-0.7593 1.2271 -2.1371 0.7392 -3.7605 -2.2112 -4.0514 0.0356 2.9103" Properties=species:S:1:pos:R:3 comment="Cu2NiPt meta-GGA SCAN single point on PBEsol structure" volume_a3_per_fu=49 dos_at_fermi_per_ev_cell=2.5 m_tot_mub_per_fu=0.00 e_tot_ev_per_atom=-29.221 ef_kcal_per_mol_atoms=-0.689 pbc="T T T"
Pt 0.3696 -1.8803 -1.1056
Cu -2.0358 -1.2489 -0.7191
Cu -2.0257 0.0178 1.4551
Ni -0.3796 0.6135 -1.0686